DFT (GGA-PBE) results for an optimized crystal structure of Sr3LiPd.

a = 8.0075 Å, b = 8.0075 Å, c = 6.2584 Å
α = 90.00°, β = 90.00°, γ = 92.39°
Last column: nearest neighbours and their distance in Å.
Fractional positions:
Sr: 0.0000 0.0000 0.0000  2 Sr 3.13, 2 Li 3.34
Sr: 0.0000 0.0000 0.5000  2 Sr 3.13, 2 Li 3.34
Sr: 0.1815 0.4704 0.7500  1 Pd 2.86
Sr: 0.4704 0.1815 0.2500  1 Pd 2.86
Sr: 0.5296 0.8185 0.7500  1 Pd 2.86
Sr: 0.8185 0.5296 0.2500  1 Pd 2.86
Li: 0.2553 0.7447 0.2500  1 Pd 2.39
Li: 0.7447 0.2553 0.7500  1 Pd 2.39
Pd: 0.4617 0.5383 0.2500  1 Li 2.39
Pd: 0.5383 0.4617 0.7500  1 Li 2.39

Output
Total moment (Bohr magnetons per cell): 1.95
Energy above the lowest structure with this stoichiometry (meV/atom): 373
Volume (Å³/atom): 40.1
E_tot (eV/atom): -2.33
SG: Cmcm, No. 63
Formation enthalpy at 0 K (eV per atom): 0.0972
Theoretical density (g cm⁻³): 3.116

DFT (GGA-PBE) results for an optimized crystal structure of CsSm2IrO8.

a = 4.7616 Å, b = 4.7948 Å, c = 8.0724 Å
α = 95.43°, β = 95.82°, γ = 95.79°
Last column: nearest neighbours and their distance in Å.
Fractional positions:
Cs: 0.0000 0.0000 0.0000  6 O 2.79-3.11
Sm: 0.4444 0.4478 0.7164  8 O 2.31-2.59
Sm: 0.5556 0.5522 0.2836  8 O 2.31-2.59
Ir: 0.0000 0.0000 0.5000  6 O 1.91-1.95
O: 0.0897 0.7171 0.3303  1 Ir 1.95
O: 0.2766 0.2723 0.4350  1 Ir 1.91
O: 0.2816 0.9124 0.6732  1 Ir 1.94
O: 0.3911 0.6034 0.0005  1 O 1.51
O: 0.6089 0.3966 0.9995  1 O 1.51
O: 0.7184 0.0876 0.3268  1 Ir 1.94
O: 0.7234 0.7277 0.5650  1 Ir 1.91
O: 0.9103 0.2829 0.6697  1 Ir 1.95

Output
Formation energy without anion corrections (eV per atom): -1.779
Total moment (Bohr magnetons per cell): 1.59
Volume (Å³/atom): 15.1
E_tot (eV/atom): -6.68
SG: P-1, No. 2
Theoretical density (g cm⁻³): 6.901

DFT (GGA-PBE) results for an optimized crystal structure of ErHf3Os4.

a = 4.6340 Å, b = 4.6340 Å, c = 6.5724 Å
α = 90.00°, β = 90.00°, γ = 90.00°
Last column: nearest neighbours and their distance in Å.
Fractional positions:
Er: 0.0000 0.0000 0.0000  8 Os 2.87
Hf: 0.0000 0.0000 0.5000  8 Os 2.81
Hf: 0.5000 0.5000 0.0000  8 Os 2.87
Hf: 0.5000 0.5000 0.5000  8 Os 2.81
Os: 0.0000 0.5000 0.2570  6 Hf 2.81-2.87, 2 Er 2.87
Os: 0.0000 0.5000 0.7430  6 Hf 2.81-2.87, 2 Er 2.87
Os: 0.5000 0.0000 0.2570  6 Hf 2.81-2.87, 2 Er 2.87
Os: 0.5000 0.0000 0.7430  6 Hf 2.81-2.87, 2 Er 2.87

Output
Total moment (Bohr magnetons per cell): 0.00
Volume (Å³/atom): 17.6
E_tot (eV/atom): -10.48
SG: P4/mmm, No. 123
Formation enthalpy at 0 K (eV per atom): -0.5666
Theoretical density (g cm⁻³): 17.220

DFT (GGA-PBE) results for an optimized crystal structure of K2YPd2.

a = 7.2402 Å, b = 7.2402 Å, c = 5.7117 Å
α = 90.00°, β = 90.00°, γ = 90.00°
Last column: nearest neighbours and their distance in Å.
Fractional positions:
K: 0.1655 0.3345 0.0000  1 K 3.39, 6 Pd 3.54-3.58
K: 0.3345 0.8345 0.0000  1 K 3.39, 6 Pd 3.54-3.58
K: 0.6655 0.1655 0.0000  1 K 3.39, 6 Pd 3.54-3.58
K: 0.8345 0.6655 0.0000  1 K 3.39, 6 Pd 3.54-3.58
Y: 0.0000 0.0000 0.5000  4 Pd 2.84
Y: 0.5000 0.5000 0.5000  4 Pd 2.84
Pd: 0.1304 0.6304 0.5000  1 Pd 2.67, 2 Y 2.84
Pd: 0.3696 0.1304 0.5000  1 Pd 2.67, 2 Y 2.84
Pd: 0.6304 0.8696 0.5000  1 Pd 2.67, 2 Y 2.84
Pd: 0.8696 0.3696 0.5000  1 Pd 2.67, 2 Y 2.84

Output
Total moment (Bohr magnetons per cell): 0.00
Volume (Å³/atom): 29.9
E_tot (eV/atom): -3.85
SG: P4/mbm, No. 127
Formation enthalpy at 0 K (eV per atom): -0.0405
Theoretical density (g cm⁻³): 4.214

> What is the E_tot in the second record?

-6.68 eV/atom

> Look up the E_tot of the second one.

-6.68 eV/atom

> Which value of theoretical density does entry 4 give?

4.214 g cm⁻³